Entry 1:
The following is a GGA-PBE calculation of an optimized crystal structure of HfNi5P3, from Alexandria.

Lattice parameters (Å, degrees): 3.5230 6.2100 10.9258 90.00 90.00 106.48
Atoms (fractional coordinates):
Hf1 0.8781 0.7563 0.7500
Hf2 0.1219 0.2437 0.2500
Ni1 0.7963 0.5926 0.4288
Ni2 0.2037 0.4074 0.9288
Ni3 0.0000 0.0000 0.5000
Ni4 0.0000 0.0000 0.0000
Ni5 0.4397 0.8794 0.1409
Ni6 0.5603 0.1206 0.8591
Ni7 0.5603 0.1206 0.6409
Ni8 0.7963 0.5926 0.0712
Ni9 0.2037 0.4074 0.5712
Ni10 0.4397 0.8794 0.3591
P1 0.3835 0.7671 0.9413
P2 0.8821 0.7641 0.2500
P3 0.3835 0.7671 0.5587
P4 0.6165 0.2329 0.4413
P5 0.1179 0.2359 0.7500
P6 0.6165 0.2329 0.0587

symmetry = No. 63
V = 12.73 Å³/atom
Fermi-level density of states = 7.48 states/eV per cell
VASP energy = -6.72 eV/atom
energy relative to the elements = -597 meV per atom
magnetic moment = 0.00 μB/cell



Entry 2:
The following is a GGA-PBE calculation of an optimized crystal structure of Hf2NiP2, from Alexandria.

Lattice parameters (Å, degrees): 6.6345 6.6345 3.5500 90.00 90.00 90.00
Atoms (fractional coordinates):
Ni1 0.0000 0.0000 0.0000
Ni2 0.5000 0.5000 0.0000
Hf1 0.1615 0.6615 0.5000
Hf2 0.6615 0.8385 0.5000
Hf3 0.8385 0.3385 0.5000
Hf4 0.3385 0.1615 0.5000
P1 0.3524 0.8524 0.0000
P2 0.8524 0.6476 0.0000
P3 0.6476 0.1476 0.0000
P4 0.1476 0.3524 0.0000

symmetry = No. 127
V = 15.63 Å³/atom
Fermi-level density of states = 0.79 states/eV per cell
VASP energy = -8.19 eV/atom
energy relative to the elements = -885 meV per atom
magnetic moment = 0.00 μB/cell



Entry 3:
The following is a GGA-PBE calculation of an optimized crystal structure of HfNiP2, from Alexandria.

Lattice parameters (Å, degrees): 4.3643 4.3643 4.3643 60.00 60.00 60.00
Atoms (fractional coordinates):
Ni1 0.0000 0.0000 0.0000
Hf1 0.5000 0.5000 0.5000
P1 0.2500 0.2500 0.2500
P2 0.7500 0.7500 0.7500

symmetry = No. 225
V = 14.70 Å³/atom
Fermi-level density of states = 1.64 states/eV per cell
VASP energy = -6.99 eV/atom
energy relative to the elements = -353 meV per atom
magnetic moment = 0.00 μB/cell



Entry 4:
The following is a GGA-PBE calculation of an optimized crystal structure of Hf3Ni4P4, from Alexandria.

Lattice parameters (Å, degrees): 3.6114 6.7678 7.2684 117.75 104.38 90.00
Atoms (fractional coordinates):
Hf1 0.1195 0.1195 0.2390
Hf2 0.8805 0.8805 0.7610
Hf3 0.0000 0.5000 0.0000
Ni1 0.3243 0.1326 0.6487
Ni2 0.6757 0.4840 0.3513
Ni3 0.6757 0.8674 0.3513
Ni4 0.3243 0.5160 0.6487
P1 0.2207 0.7207 0.4414
P2 0.7793 0.2793 0.5586
P3 0.5000 0.7859 0.0000
P4 0.5000 0.2141 0.0000

symmetry = No. 71
V = 13.72 Å³/atom
Fermi-level density of states = 3.91 states/eV per cell
VASP energy = -7.74 eV/atom
energy relative to the elements = -954 meV per atom
magnetic moment = 0.00 μB/cell



Entry 5:
The following is a GGA-PBE calculation of an optimized crystal structure of Hf3NiP3, from Alexandria.

Lattice parameters (Å, degrees): 3.6659 10.6083 11.8824 90.00 90.00 90.00
Atoms (fractional coordinates):
Hf1 0.7500 0.7189 0.7783
Hf2 0.2500 0.7811 0.2783
Hf3 0.2500 0.2811 0.2217
Hf4 0.7500 0.2189 0.7217
Hf5 0.7500 0.1407 0.0024
Hf6 0.2500 0.3593 0.5024
Hf7 0.2500 0.8593 0.9976
Hf8 0.7500 0.6407 0.4976
Hf9 0.7500 0.9460 0.6172
Hf10 0.2500 0.5540 0.1172
Hf11 0.2500 0.0540 0.3828
Hf12 0.7500 0.4460 0.8828
Ni1 0.7500 0.9430 0.1801
Ni2 0.2500 0.5570 0.6801
Ni3 0.2500 0.0570 0.8199
Ni4 0.7500 0.4430 0.3199
P1 0.7500 0.9474 0.8489
P2 0.2500 0.5526 0.3489
P3 0.2500 0.0526 0.1511
P4 0.7500 0.4474 0.6511
P5 0.7500 0.8741 0.4087
P6 0.2500 0.6259 0.9087
P7 0.2500 0.1259 0.5913
P8 0.7500 0.3741 0.0913
P9 0.7500 0.7365 0.1226
P10 0.2500 0.7635 0.6226
P11 0.2500 0.2635 0.8774
P12 0.7500 0.2365 0.3774

symmetry = No. 62
V = 16.50 Å³/atom
Fermi-level density of states = 18.05 states/eV per cell
VASP energy = -8.53 eV/atom
energy relative to the elements = -1115 meV per atom
magnetic moment = 0.00 μB/cell



Entry 6:
The following is a GGA-PBE calculation of an optimized crystal structure of Hf3Ni2P3, from Alexandria.

Lattice parameters (Å, degrees): 3.7008 5.2751 12.7753 90.00 90.00 110.53
Atoms (fractional coordinates):
Hf1 0.9365 0.8729 0.3863
Hf2 0.0635 0.1271 0.8863
Hf3 0.9365 0.8729 0.1137
Hf4 0.0635 0.1271 0.6137
Hf5 0.6357 0.2714 0.2500
Hf6 0.3643 0.7286 0.7500
Ni1 0.7712 0.5425 0.9055
Ni2 0.2288 0.4575 0.4055
Ni3 0.7712 0.5425 0.5945
Ni4 0.2288 0.4575 0.0945
P1 0.6187 0.2374 0.4567
P2 0.3813 0.7626 0.9567
P3 0.6187 0.2374 0.0433
P4 0.3813 0.7626 0.5433
P5 0.3488 0.6975 0.2500
P6 0.6512 0.3025 0.7500

symmetry = No. 63
V = 14.60 Å³/atom
Fermi-level density of states = 5.43 states/eV per cell
VASP energy = -8.24 eV/atom
energy relative to the elements = -1036 meV per atom
magnetic moment = 0.00 μB/cell



Entry 7:
The following is a GGA-PBE calculation of an optimized crystal structure of HfNiP2, from Alexandria.

Lattice parameters (Å, degrees): 6.4701 6.4701 5.4389 53.50 53.50 90.00
Atoms (fractional coordinates):
Ni1 0.5000 0.5000 0.0000
Ni2 0.2500 0.7500 0.5000
Hf1 0.0000 0.0000 0.0000
Hf2 0.7500 0.2500 0.5000
P1 0.5686 0.1250 0.2500
P2 0.1814 0.6250 0.2500
P3 0.3750 0.4314 0.7500
P4 0.8750 0.8186 0.7500

symmetry = No. 122
V = 15.39 Å³/atom
Fermi-level density of states = 4.96 states/eV per cell
VASP energy = -7.22 eV/atom
energy relative to the elements = -578 meV per atom
magnetic moment = 0.00 μB/cell



Entry 8:
The following is a GGA-PBE calculation of an optimized crystal structure of Hf2Ni21P6, from Alexandria.

Lattice parameters (Å, degrees): 7.8480 7.8480 7.8480 60.00 60.00 60.00
Atoms (fractional coordinates):
Hf1 0.7500 0.7500 0.7500
Hf2 0.2500 0.2500 0.2500
Ni1 0.0000 0.0000 0.0000
Ni2 0.6156 0.6156 0.1533
Ni3 0.6156 0.6156 0.6156
Ni4 0.6156 0.1533 0.6156
Ni5 0.1533 0.6156 0.6156
Ni6 0.3844 0.3844 0.8467
Ni7 0.3844 0.3844 0.3844
Ni8 0.3844 0.8467 0.3844
Ni9 0.8467 0.3844 0.3844
Ni10 0.6498 0.0000 0.3502
Ni11 0.0000 0.6498 0.3502
Ni12 0.0000 0.0000 0.3502
Ni13 0.0000 0.6498 0.0000
Ni14 0.6498 0.0000 0.0000
Ni15 0.0000 0.0000 0.6498
Ni16 0.0000 0.3502 0.0000
Ni17 0.0000 0.3502 0.6498
Ni18 0.6498 0.3502 0.0000
Ni19 0.3502 0.0000 0.6498
Ni20 0.3502 0.0000 0.0000
Ni21 0.3502 0.6498 0.0000
P1 0.2599 0.7401 0.2599
P2 0.7401 0.2599 0.2599
P3 0.7401 0.7401 0.2599
P4 0.7401 0.2599 0.7401
P5 0.2599 0.7401 0.7401
P6 0.2599 0.2599 0.7401

symmetry = No. 225
V = 11.79 Å³/atom
Fermi-level density of states = 6.98 states/eV per cell
VASP energy = -6.50 eV/atom
energy relative to the elements = -509 meV per atom
magnetic moment = 0.00 μB/cell



Entry 9:
The following is a GGA-PBE calculation of an optimized crystal structure of Hf3Ni6P5, from Alexandria.

Lattice parameters (Å, degrees): 3.6004 9.1050 11.2506 90.00 90.00 90.00
Atoms (fractional coordinates):
Hf1 0.0000 0.2440 0.6557
Hf2 0.5000 0.7560 0.1557
Hf3 0.5000 0.7560 0.8443
Hf4 0.0000 0.2630 0.0000
Hf5 0.5000 0.7370 0.5000
Hf6 0.0000 0.2440 0.3443
Ni1 0.0000 0.0046 0.8327
Ni2 0.5000 0.9954 0.6673
Ni3 0.5000 0.3959 0.8129
Ni4 0.5000 0.5236 0.0000
Ni5 0.0000 0.4764 0.5000
Ni6 0.0000 0.6041 0.6871
Ni7 0.0000 0.6041 0.3129
Ni8 0.5000 0.0198 0.0000
Ni9 0.0000 0.0046 0.1673
Ni10 0.5000 0.3959 0.1871
Ni11 0.0000 0.9802 0.5000
Ni12 0.5000 0.9954 0.3327
P1 0.0000 0.5312 0.8781
P2 0.0000 0.8457 0.6697
P3 0.0000 0.8589 0.0000
P4 0.5000 0.4688 0.6219
P5 0.5000 0.1411 0.5000
P6 0.0000 0.5312 0.1219
P7 0.5000 0.4688 0.3781
P8 0.0000 0.8457 0.3303
P9 0.5000 0.1543 0.8303
P10 0.5000 0.1543 0.1697

symmetry = No. 59
V = 13.17 Å³/atom
Fermi-level density of states = 10.48 states/eV per cell
VASP energy = -7.44 eV/atom
energy relative to the elements = -899 meV per atom
magnetic moment = 0.00 μB/cell



Entry 10:
The following is a GGA-PBE calculation of an optimized crystal structure of Hf2PaNiP4, from Alexandria.

Lattice parameters (Å, degrees): 3.7355 6.3763 12.6983 90.00 90.00 107.03
Atoms (fractional coordinates):
Hf1 0.3666 0.7333 0.5617
Hf2 0.6334 0.2667 0.0617
Hf3 0.6334 0.2667 0.4383
Hf4 0.3666 0.7333 0.9383
Pa1 0.1149 0.2297 0.7500
Pa2 0.8851 0.7703 0.2500
Ni1 0.8505 0.7010 0.7500
Ni2 0.1495 0.2990 0.2500
P1 0.2757 0.5513 0.1231
P2 0.7243 0.4487 0.6231
P3 0.7243 0.4487 0.8769
P4 0.2757 0.5513 0.3769
P5 0.0000 0.0000 0.5000
P6 0.0000 0.0000 0.0000
P7 0.4503 0.9005 0.7500
P8 0.5497 0.0995 0.2500

symmetry = No. 63
V = 18.07 Å³/atom
Fermi-level density of states = 5.48 states/eV per cell
VASP energy = -8.23 eV/atom
energy relative to the elements = -1124 meV per atom
magnetic moment = 0.00 μB/cell



Entry 11:
The following is a GGA-PBE calculation of an optimized crystal structure of HfNi2PPt, from Alexandria.

Lattice parameters (Å, degrees): 4.6180 4.3321 4.6180 90.00 90.00 90.00
Atoms (fractional coordinates):
Ni1 0.0000 0.0000 0.5000
Ni2 0.5000 0.0000 0.0000
Hf1 0.5000 0.5000 0.5000
Pt1 0.0000 0.0000 0.0000
P1 0.0000 0.5000 0.0000

symmetry = No. 123
V = 18.48 Å³/atom
Fermi-level density of states = 5.32 states/eV per cell
VASP energy = -6.01 eV/atom
energy relative to the elements = 586 meV per atom
magnetic moment = 0.00 μB/cell



Entry 12:
The following is a GGA-PBE calculation of an optimized crystal structure of HfNi2PRh, from Alexandria.

Lattice parameters (Å, degrees): 4.0842 4.8626 4.0842 90.00 90.00 90.00
Atoms (fractional coordinates):
Rh1 0.5000 0.5000 0.5000
Hf1 0.0000 0.5000 0.0000
P1 0.0000 0.0000 0.0000
Ni1 0.0000 0.0000 0.5000
Ni2 0.5000 0.0000 0.0000

symmetry = No. 123
V = 16.22 Å³/atom
Fermi-level density of states = 4.60 states/eV per cell
VASP energy = -6.91 eV/atom
energy relative to the elements = -50 meV per atom
magnetic moment = 0.00 μB/cell